No. 1
A plane-wave DFT calculation with PBE was carried out for a relaxed structure of AcSm5Dy2Tm.

Structure (CIF):
```
data_AcSm5Dy2Tm
_symmetry_space_group_name_H-M 'I 4/m c m'
_symmetry_Int_Tables_number 140
_symmetry_space_group_name_Hall '-I 4 2c'
_cell_length_a 9.2260
_cell_length_b 9.2260
_cell_length_c 14.8736
_cell_angle_alpha 90.00
_cell_angle_beta 90.00
_cell_angle_gamma 90.00
loop_
_atom_site_label
_atom_site_type_symbol
_atom_site_fract_x
_atom_site_fract_y
_atom_site_fract_z
_atom_site_occupancy
Ac1 Ac 0.0000 0.0000 0.2500 1
Sm1 Sm 0.0000 0.0000 0.0000 1
Sm2 Sm 0.2001 0.2999 0.1259 1
Dy1 Dy 0.1113 0.3887 0.5000 1
Tm1 Tm 0.0000 0.5000 0.2500 1
```

***

No. 2
A plane-wave DFT calculation with PBE was carried out for a relaxed structure of AcSm5DyTm2.

Structure (CIF):
```
data_AcSm5DyTm2
_symmetry_space_group_name_H-M 'C m c 21'
_symmetry_Int_Tables_number 36
_cell_length_a 5.7746
_cell_length_b 17.4403
_cell_length_c 12.1041
_cell_angle_alpha 90.00
_cell_angle_beta 90.00
_cell_angle_gamma 90.00
loop_
_symmetry_equiv_pos_as_xyz
'x,y,z'
'-x,-y,z+1/2'
'-x,y,z'
'x,-y,z+1/2'
'x+1/2,y+1/2,z'
'-x+1/2,-y+1/2,z+1/2'
'-x+1/2,y+1/2,z'
'x+1/2,-y+1/2,z+1/2'
loop_
_atom_site_label
_atom_site_type_symbol
_atom_site_fract_x
_atom_site_fract_y
_atom_site_fract_z
_atom_site_occupancy
Ac1 Ac 0.0000 0.1138 0.0000 1
Sm1 Sm 0.0000 0.0789 0.3399 1
Sm2 Sm 0.0000 0.0813 0.6650 1
Sm3 Sm 0.0000 0.2683 0.7960 1
Sm4 Sm 0.0000 0.2692 0.2045 1
Sm5 Sm 0.0000 0.4402 0.6477 1
Dy1 Dy 0.0000 0.2486 0.4999 1
Tm1 Tm 0.0000 0.3886 0.9992 1
Tm2 Tm 0.0000 0.4381 0.3530 1
```

***

Formation enthalpy at 0 K for every record listed, in sequence, given in meV per atom: 284.6, 87.9.